Record 1
Here is a relaxed HfVAg crystal from Alexandria. Energies are from PBE.

POSCAR file:
```
HfVAg
1.0
4.070 0.000 0.000
0.000 4.090 0.000
0.000 0.000 12.783
Hf Ag V
4 4 4
Cartesian
0.000 0.000 8.407
0.000 2.045 2.015
2.035 0.000 2.015
2.035 2.045 8.407
0.000 0.000 12.453
0.000 2.045 6.061
2.035 0.000 6.061
2.035 2.045 12.453
0.000 0.000 4.035
0.000 2.045 10.426
2.035 0.000 10.426
2.035 2.045 4.035
```

For the mass density, the calculation gives 10.53 g cm⁻³. The calculation puts the electronic total energy at -7.121 eV/atom. Its relative energy among the computed polymorphs is 0.0315 eV per atom. The value obtained for the formation energy is 0.19 eV/atom. As for the symmetry: Fmm2.

Record 2
Here is a relaxed InW crystal from Alexandria. Energies are from PBE.

POSCAR file:
```
InW
1.0
4.182 0.000 0.000
-2.091 3.622 0.000
0.000 0.000 5.647
In W
2 2
Cartesian
0.000 0.000 0.000
0.000 0.000 2.823
0.000 2.415 1.412
2.091 1.207 4.235
```

For the mass density, the calculation gives 11.60 g cm⁻³. The calculation puts the electronic total energy at -6.181 eV/atom. Its relative energy among the computed polymorphs is 1.2632 eV per atom. The value obtained for the formation energy is 1.67 eV/atom. As for the symmetry: P6_3/mmc.

Record 3
Here is a relaxed Sr2CdH crystal from Alexandria. Energies are from PBE.

POSCAR file:
```
Sr2CdH
1.0
-6.415 3.844 1.207
-1.912 -0.907 -7.274
-6.147 -2.146 -2.061
Sr H Cd
4 2 2
Cartesian
-5.175 1.387 -0.785
-4.145 -0.257 -4.796
-7.915 -0.595 -4.513
-11.715 1.046 -6.162
-4.164 1.468 -3.033
-6.112 -0.793 -6.184
0.000 0.000 0.000
-8.363 1.583 -1.944
```

For the mass density, the calculation gives 3.94 g cm⁻³. The calculation puts the electronic total energy at -2.146 eV/atom. Its relative energy among the computed polymorphs is 0.1080 eV per atom. As for the symmetry: I-42d.

Record 4
Here is a relaxed Li4Ac2AgPd3 crystal from Alexandria. Energies are from PBE.

POSCAR file:
```
Li4Ac2AgPd3
1.0
-2.066 3.180 -2.028
-1.210 -2.749 -3.078
-9.304 -2.366 5.772
Li Ac Ag Pd
4 2 1 3
Cartesian
-1.638 0.215 -2.553
0.000 0.000 0.000
-6.796 0.124 2.561
-4.147 -2.275 0.658
-3.367 0.996 0.434
-7.575 -3.147 2.785
-6.290 -0.968 0.333
-4.652 -1.183 2.886
-8.939 -0.421 3.890
-2.004 -1.730 -0.671
```

For the mass density, the calculation gives 7.29 g cm⁻³. The calculation puts the electronic total energy at -3.874 eV/atom. The value obtained for the formation energy is -0.44 eV/atom. As for the symmetry: P-4m2.

Record 5
Here is a relaxed NaSrHg3 crystal from Alexandria. Energies are from PBE.

POSCAR file:
```
NaSrHg3
1.0
-4.371 0.253 -2.063
3.240 -5.139 -1.818
-4.513 -4.457 9.016
Na Sr Hg
2 2 6
Cartesian
-3.510 -5.878 6.717
-2.134 -3.466 -1.581
-2.064 -7.314 3.477
-3.579 -2.029 1.658
-0.364 -1.255 0.617
-5.280 -8.088 4.519
-4.738 -5.244 3.719
-0.906 -4.099 1.417
-3.341 -5.600 0.716
-2.303 -3.743 4.420
```

For the mass density, the calculation gives 7.63 g cm⁻³. The calculation puts the electronic total energy at -1.111 eV/atom. Its relative energy among the computed polymorphs is 0.0392 eV per atom. The value obtained for the formation energy is -0.33 eV/atom. As for the symmetry: C2/m.

Record 6
Here is a relaxed SrGaP3 crystal from Alexandria. Energies are from PBE.

POSCAR file:
```
SrGaP3
1.0
4.832 0.000 0.000
0.000 4.832 0.000
0.000 0.000 4.832
Sr Ga P
1 1 3
Cartesian
2.416 2.416 2.416
0.000 0.000 0.000
0.000 2.416 0.000
0.000 0.000 2.416
2.416 0.000 0.000
```

For the mass density, the calculation gives 3.68 g cm⁻³. The calculation puts the electronic total energy at -4.080 eV/atom. Its relative energy among the computed polymorphs is 0.0000 eV per atom. The value obtained for the formation energy is 0.11 eV/atom. As for the symmetry: Pm-3m.

Record 7
Here is a relaxed Ge2Au2I crystal from Alexandria. Energies are from PBE.

POSCAR file:
```
Ge2Au2I
1.0
-4.134 2.263 -0.197
-1.870 -3.156 2.965
-1.520 2.628 5.592
I Ge Au
1 2 2
Cartesian
0.000 0.000 0.000
-4.327 2.222 3.389
-3.195 -0.488 4.970
-2.604 0.379 2.513
-4.919 1.355 5.845
```

For the mass density, the calculation gives 9.18 g cm⁻³. Its formation energy from raw total energies is 0.77 eV per formula unit. The calculation puts the electronic total energy at -3.313 eV/atom. Its relative energy among the computed polymorphs is 0.0312 eV per atom. As for the symmetry: I4/mmm.

Record 8
Here is a relaxed RbAg2Sn crystal from Alexandria. Energies are from PBE.

POSCAR file:
```
RbAg2Sn
1.0
5.653 0.000 0.000
0.000 5.653 0.000
2.827 2.827 9.296
Rb Sn Ag
2 2 4
Cartesian
2.827 2.827 0.000
2.827 5.653 4.648
0.000 0.000 0.000
5.653 2.827 4.648
5.651 1.413 2.324
5.655 4.240 2.324
4.240 2.828 6.972
7.066 2.825 6.972
```

For the mass density, the calculation gives 4.69 g cm⁻³. The calculation puts the electronic total energy at -2.598 eV/atom. The value obtained for the formation energy is 0.07 eV/atom. As for the symmetry: I4_1/amd.

Number 1: size of the total moment 0.00 Bohr magnetons per cell. Number 2: size of the total moment 1.77 Bohr magnetons per cell. Number 3: size of the total moment 0.00 Bohr magnetons per cell. Number 4: size of the total moment 0.00 Bohr magnetons per cell. Number 5: size of the total moment 0.00 Bohr magnetons per cell. Number 6: size of the total moment 0.00 Bohr magnetons per cell. Number 7: size of the total moment 0.00 Bohr magnetons per cell. Number 8: size of the total moment 0.00 Bohr magnetons per cell.